Record 1
Crystalline HfNiBOs at its relaxed geometry. Source: OQMD, functional PBE.

Computed properties:
Total magnetization: 0.264 μB/cell
Symmetry: No. 216
ρ: 13.1 Mg/m³
Excess energy over the best structure of this formula in the dataset: 505 meV per atom

Geometry as POSCAR:
```
HfNiBOs
1.0
0.0000 3.0258 3.0258
3.0258 0.0000 3.0258
3.0258 3.0258 0.0000
Hf Ni B Os
1 1 1 1
Cartesian
0.0000 0.0000 0.0000 Hf
3.0258 3.0258 3.0258 Ni
1.5129 1.5129 1.5129 B
4.5386 4.5386 4.5386 Os
```

Record 2
Crystalline TbGdNi at its relaxed geometry. Source: OQMD, functional PBE.

Computed properties:
Total magnetization: 0.040 μB/cell
Symmetry: No. 189
ρ: 8.9 Mg/m³
Excess energy over the best structure of this formula in the dataset: 0 meV per atom

Geometry as POSCAR:
```
TbGdNi
1.0
7.2012 0.0000 0.0000
-3.6006 6.2364 0.0000
0.0000 0.0000 4.6829
Tb Gd Ni
3 3 3
Cartesian
-2.6315 4.5579 0.0000 Tb
0.9691 1.6785 0.0000 Tb
5.2630 0.0000 0.0000 Tb
-1.4452 2.5032 2.3414 Gd
2.8904 0.0000 2.3414 Gd
2.1554 3.7332 2.3414 Gd
0.0000 0.0000 2.3414 Ni
0.0000 4.1576 0.0000 Ni
3.6006 2.0788 0.0000 Ni
```

- excess energy over the best structure of this formula in the dataset of number 1 (HfNiBOs)?
  505 meV per atom

- Look up the ρ of the first one.
  13.1 Mg/m³

Please write out number 2 again, unchanged.
Crystalline TbGdNi at its relaxed geometry. Source: OQMD, functional PBE.

Computed properties:
Total magnetization: 0.040 μB/cell
Symmetry: No. 189
ρ: 8.9 Mg/m³
Excess energy over the best structure of this formula in the dataset: 0 meV per atom

Geometry as POSCAR:
```
TbGdNi
1.0
7.2012 0.0000 0.0000
-3.6006 6.2364 0.0000
0.0000 0.0000 4.6829
Tb Gd Ni
3 3 3
Cartesian
-2.6315 4.5579 0.0000 Tb
0.9691 1.6785 0.0000 Tb
5.2630 0.0000 0.0000 Tb
-1.4452 2.5032 2.3414 Gd
2.8904 0.0000 2.3414 Gd
2.1554 3.7332 2.3414 Gd
0.0000 0.0000 2.3414 Ni
0.0000 4.1576 0.0000 Ni
3.6006 2.0788 0.0000 Ni
```